Tb7Bi2Os2 | the Alexandria database | GGA-PBE | optimized geometry; offset from the most stable computed form = 95.5 meV per atom; formation energy from the elements = -0.3228 eV per atom; E = -0.221 hartree per atom
1.0
-1.736 1.058 7.061
-0.227 -6.798 0.962
6.536 -1.146 1.778
Tb Bi Os
7 2 2
Direct
0.234 0.000 0.500
0.766 0.500 0.000
0.766 0.000 0.500
0.234 0.500 0.000
0.000 0.000 0.000
0.777 0.500 0.500
0.223 0.500 0.500
0.500 0.209 0.791
0.500 0.791 0.209
0.000 0.278 0.278
0.000 0.722 0.722